# 1
Below is an optimized crystal structure of Sc2Pd4Au3, with properties calculated at the PBE level.

Output
Space group: C2/m
Energy relative to the elements in meV per atom: -699
Density of states at the Fermi level in states/eV per atom: 0.44
Raw total energy in eV per atom: -5.506

Lattice parameters (Å, degrees): 4.127 4.961 8.610 74.50 89.97 65.47
Atoms (fractional coordinates):
Sc 0.331 0.338 0.780
Sc 0.669 0.662 0.220
Pd 0.666 0.667 0.893
Pd 0.000 0.000 0.328
Pd 0.000 0.000 0.672
Pd 0.334 0.333 0.107
Au 0.336 0.328 0.444
Au 0.000 0.000 0.000
Au 0.664 0.672 0.556

=====

# 2
Below is an optimized crystal structure of ScPd3Au, with properties calculated at the PBE level.

Output
Space group: Pm-3m
Energy relative to the elements in meV per atom: 577
Density of states at the Fermi level in states/eV per atom: 0.56
Raw total energy in eV per atom: -4.461

Lattice parameters (Å, degrees): 4.923 4.923 4.923 90.00 90.00 90.00
Atoms (fractional coordinates):
Sc 0.500 0.500 0.500
Au 0.000 0.000 0.000
Pd 0.000 0.500 0.000
Pd 0.000 0.000 0.500
Pd 0.500 0.000 0.000

=====

# 3
Below is an optimized crystal structure of ScPdAu, with properties calculated at the PBE level.

Output
Space group: I4mm
Energy relative to the elements in meV per atom: -829
Density of states at the Fermi level in states/eV per atom: 0.65
Raw total energy in eV per atom: -5.763

Lattice parameters (Å, degrees): 3.489 3.489 5.067 110.14 110.14 90.00
Atoms (fractional coordinates):
Sc 0.613 0.613 0.225
Au 0.281 0.281 0.561
Pd 0.957 0.957 0.914